The following is a PBE calculation of a geometry-optimized SrPaAs2S8 structure, from Alexandria.

Values from the calculation:
DOS at the Fermi energy ... 5.3 states/eV/cell
Formation energy from raw total energies ... -0.66 eV/atom

Lattice parameters (Å, degrees): 6.262 6.262 9.045 90.00 90.00 120.00
Element x y z (fractional)
Sr  0.000  0.000  0.000
Pa  0.000  0.000  0.500
As  0.333  0.667  0.758
As  0.667  0.333  0.242
S  0.018  0.681  0.313
S  0.319  0.337  0.313
S  0.333  0.667  0.993
S  0.337  0.018  0.687
S  0.663  0.982  0.313
S  0.667  0.333  0.007
S  0.681  0.663  0.687
S  0.982  0.319  0.687

The following is a PBE calculation of a geometry-optimized PaTcAsS structure, from Alexandria.

Values from the calculation:
DOS at the Fermi energy ... 8.2 states/eV/cell
Formation energy from raw total energies ... -0.95 eV/atom

Lattice parameters (Å, degrees): 4.364 4.364 8.002 90.00 90.00 90.00
Element x y z (fractional)
Pa  0.250  0.250  0.215
Pa  0.750  0.750  0.785
Tc  0.250  0.750  0.500
Tc  0.750  0.250  0.500
As  0.250  0.250  0.655
As  0.750  0.750  0.345
S  0.250  0.750  0.000
S  0.750  0.250  0.000

The following is a PBE calculation of a geometry-optimized ThPaAsS structure, from Alexandria.

Values from the calculation:
DOS at the Fermi energy ... 4.2 states/eV/cell
Formation energy from raw total energies ... -1.15 eV/atom

Lattice parameters (Å, degrees): 4.991 4.991 4.991 60.00 60.00 60.00
Element x y z (fractional)
Th  0.000  0.000  0.000
Pa  0.500  0.500  0.500
As  0.250  0.250  0.250
S  0.750  0.750  0.750

The following is a PBE calculation of a geometry-optimized PaTiAsS structure, from Alexandria.

Values from the calculation:
DOS at the Fermi energy ... 7.0 states/eV/cell
Formation energy from raw total energies ... -1.07 eV/atom

Lattice parameters (Å, degrees): 4.108 4.108 9.301 90.00 90.00 90.00
Element x y z (fractional)
Pa  0.250  0.250  0.194
Pa  0.750  0.750  0.806
Ti  0.250  0.750  0.500
Ti  0.750  0.250  0.500
As  0.250  0.250  0.683
As  0.750  0.750  0.317
S  0.250  0.750  0.000
S  0.750  0.250  0.000

The following is a PBE calculation of a geometry-optimized UPaAsS2 structure, from Alexandria.

Values from the calculation:
DOS at the Fermi energy ... 5.5 states/eV/cell
Formation energy from raw total energies ... -0.97 eV/atom

Lattice parameters (Å, degrees): 7.013 7.013 7.013 145.38 145.38 49.76
Element x y z (fractional)
U  0.000  0.000  0.000
Pa  0.226  0.226  0.000
As  0.614  0.614  0.000
S  0.363  0.863  0.500
S  0.863  0.363  0.500

The following is a PBE calculation of a geometry-optimized PaSbAs structure, from Alexandria.

Values from the calculation:
DOS at the Fermi energy ... 7.4 states/eV/cell
Formation energy from raw total energies ... -0.07 eV/atom

Lattice parameters (Å, degrees): 7.244 7.244 7.244 132.24 132.24 69.84
Element x y z (fractional)
Pa  0.000  0.000  0.000
Pa  0.750  0.250  0.500
Sb  0.486  0.986  0.500
Sb  0.736  0.736  0.000
As  0.235  0.235  0.000
As  0.985  0.485  0.500

The following is a PBE calculation of a geometry-optimized PaSbAs structure, from Alexandria.

Values from the calculation:
DOS at the Fermi energy ... 5.3 states/eV/cell
Formation energy from raw total energies ... -0.73 eV/atom

Lattice parameters (Å, degrees): 8.954 8.954 8.954 153.06 153.06 38.47
Element x y z (fractional)
Pa  0.150  0.150  0.000
Pa  0.850  0.850  0.000
Sb  0.000  0.500  0.500
Sb  0.500  0.000  0.500
As  0.320  0.320  0.000
As  0.680  0.680  0.000

The following is a PBE calculation of a geometry-optimized PaSbAs2 structure, from Alexandria.

Values from the calculation:
DOS at the Fermi energy ... 2.1 states/eV/cell
Formation energy from raw total energies ... -0.15 eV/atom

Lattice parameters (Å, degrees): 8.985 8.985 8.985 26.48 26.48 26.48
Element x y z (fractional)
Pa  0.000  0.000  0.000
Sb  0.500  0.500  0.500
As  0.393  0.393  0.393
As  0.607  0.607  0.607

The following is a PBE calculation of a geometry-optimized Pa2SbAs structure, from Alexandria.

Values from the calculation:
DOS at the Fermi energy ... 7.0 states/eV/cell
Formation energy from raw total energies ... -0.61 eV/atom

Lattice parameters (Å, degrees): 3.603 3.603 7.300 90.00 90.00 90.00
Element x y z (fractional)
Pa  0.000  0.000  0.235
Pa  0.000  0.000  0.765
Sb  0.500  0.500  0.500
As  0.500  0.500  0.000

The following is a PBE calculation of a geometry-optimized Pa2SbAs3 structure, from Alexandria.

Values from the calculation:
DOS at the Fermi energy ... 5.0 states/eV/cell
Formation energy from raw total energies ... -0.85 eV/atom

Lattice parameters (Å, degrees): 4.088 4.088 8.318 90.00 90.00 90.00
Element x y z (fractional)
Pa  0.000  0.500  0.208
Pa  0.500  0.000  0.792
Sb  0.000  0.000  0.500
As  0.000  0.500  0.858
As  0.500  0.000  0.142
As  0.500  0.500  0.500

The following is a PBE calculation of a geometry-optimized Pa4Sb3As structure, from Alexandria.

Values from the calculation:
DOS at the Fermi energy ... 27.0 states/eV/cell
Formation energy from raw total energies ... -0.58 eV/atom

Lattice parameters (Å, degrees): 7.465 8.599 7.411 90.00 109.49 90.00
Element x y z (fractional)
Pa  0.231  0.116  0.001
Pa  0.231  0.884  0.501
Pa  0.240  0.363  0.489
Pa  0.240  0.637  0.989
Pa  0.760  0.363  0.011
Pa  0.760  0.637  0.511
Pa  0.769  0.116  0.499
Pa  0.769  0.884  0.999
Sb  0.000  0.376  0.750
Sb  0.000  0.624  0.250
Sb  0.500  0.124  0.750
Sb  0.500  0.377  0.250
Sb  0.500  0.623  0.750
Sb  0.500  0.876  0.250
As  0.000  0.123  0.250
As  0.000  0.877  0.750

The following is a PBE calculation of a geometry-optimized PaSbAs2 structure, from Alexandria.

Values from the calculation:
DOS at the Fermi energy ... 2.9 states/eV/cell
Formation energy from raw total energies ... -0.44 eV/atom

Lattice parameters (Å, degrees): 3.818 3.818 6.416 90.00 90.00 90.00
Element x y z (fractional)
Pa  0.000  0.000  0.000
Sb  0.000  0.000  0.500
As  0.500  0.500  0.203
As  0.500  0.500  0.797

Which of these has the lowest DOS at the Fermi energy?
number 8